Record 1
TbPmMgCd after structural relaxation, computed with GGA-PBE.

Geometry as CIF:
```
data_TbPmMgCd
_space_group_name_H-M_alt 'P m m m'
_space_group_IT_number 47
_space_group_name_Hall '-P 2 2'
_cell_length_a 3.858
_cell_length_b 5.330
_cell_length_c 5.368
_cell_angle_alpha 90.00
_cell_angle_beta 90.00
_cell_angle_gamma 90.00
loop_
_atom_site_label
_atom_site_type_symbol
_atom_site_fract_x
_atom_site_fract_y
_atom_site_fract_z
Tb1 Tb 0.000 0.000 0.000
Pm1 Pm 0.000 0.500 0.500
Mg1 Mg 0.500 0.000 0.500
Cd1 Cd 0.500 0.500 0.000
```

Properties
- uncorrected energy (eV/atom) = -3.180
- ΔE to the lowest computed polymorph (meV/atom) = 0.0
- DOS(E_F) (states/eV per cell) = 4.58

***

Record 2
Tb2PmMg2Cd2 after structural relaxation, computed with GGA-PBE.

Geometry as CIF:
```
data_Tb2PmMg2Cd2
_space_group_name_H-M_alt 'R -3 m'
_space_group_IT_number 166
_space_group_name_Hall '-R 3 2"'
_cell_length_a 5.0568
_cell_length_b 5.0568
_cell_length_c 25.7723
_cell_angle_alpha 90.00
_cell_angle_beta 90.00
_cell_angle_gamma 120.00
loop_
_atom_site_label
_atom_site_type_symbol
_atom_site_fract_x
_atom_site_fract_y
_atom_site_fract_z
Tb1 Tb 0.0000 0.0000 0.1284
Pm1 Pm 0.0000 0.0000 0.0000
Mg1 Mg 0.0000 0.0000 0.2658
Cd1 Cd 0.0000 0.0000 0.4038
```

Properties
- uncorrected energy (eV/atom) = -2.825
- DOS(E_F) (states/eV per cell) = 23.43

***

Record 3
TbPmMgCd after structural relaxation, computed with GGA-PBE.

Geometry as CIF:
```
data_TbPmMgCd
_space_group_name_H-M_alt 'F -4 3 m'
_space_group_IT_number 216
_space_group_name_Hall 'F -4 2 3'
_cell_length_a 7.619
_cell_length_b 7.619
_cell_length_c 7.619
_cell_angle_alpha 90.00
_cell_angle_beta 90.00
_cell_angle_gamma 90.00
loop_
_atom_site_label
_atom_site_type_symbol
_atom_site_fract_x
_atom_site_fract_y
_atom_site_fract_z
Tb1 Tb 0.000 0.000 0.000
Pm1 Pm 0.000 0.000 0.500
Mg1 Mg 0.250 0.250 0.750
Cd1 Cd 0.250 0.250 0.250
```

Properties
- uncorrected energy (eV/atom) = -3.177
- ΔE to the lowest computed polymorph (meV/atom) = 2.4
- DOS(E_F) (states/eV per cell) = 19.26

***

Record 4
PmMg2Tl2Cd2 after structural relaxation, computed with GGA-PBE.

Geometry as CIF:
```
data_PmMg2Tl2Cd2
_space_group_name_H-M_alt 'C 1 2/m 1'
_space_group_IT_number 12
_space_group_name_Hall '-C 2y'
_cell_length_a 8.326
_cell_length_b 5.031
_cell_length_c 8.882
_cell_angle_alpha 90.00
_cell_angle_beta 110.73
_cell_angle_gamma 90.00
loop_
_atom_site_label
_atom_site_type_symbol
_atom_site_fract_x
_atom_site_fract_y
_atom_site_fract_z
Pm1 Pm 0.000 0.000 0.000
Mg1 Mg 0.144 0.000 0.419
Tl1 Tl 0.235 0.500 0.190
Cd1 Cd 0.057 0.500 0.688
```

Properties
- uncorrected energy (eV/atom) = -2.229
- DOS(E_F) (states/eV per cell) = 5.74

***

Record 5
PmTmMgCd after structural relaxation, computed with GGA-PBE.

Geometry as CIF:
```
data_PmTmMgCd
_space_group_name_H-M_alt 'P 4 m m'
_space_group_IT_number 99
_space_group_name_Hall 'P 4 -2'
_cell_length_a 3.764
_cell_length_b 3.764
_cell_length_c 7.646
_cell_angle_alpha 90.00
_cell_angle_beta 90.00
_cell_angle_gamma 90.00
loop_
_atom_site_label
_atom_site_type_symbol
_atom_site_fract_x
_atom_site_fract_y
_atom_site_fract_z
Pm1 Pm 0.000 0.000 0.000
Tm1 Tm 0.000 0.000 0.497
Mg1 Mg 0.500 0.500 0.737
Cd1 Cd 0.500 0.500 0.266
```

Properties
- uncorrected energy (eV/atom) = -3.125
- ΔE to the lowest computed polymorph (meV/atom) = 4.1
- DOS(E_F) (states/eV per cell) = 4.93

***

Record 6
PmTmMgCd after structural relaxation, computed with GGA-PBE.

Geometry as CIF:
```
data_PmTmMgCd
_space_group_name_H-M_alt 'F -4 3 m'
_space_group_IT_number 216
_space_group_name_Hall 'F -4 2 3'
_cell_length_a 7.567
_cell_length_b 7.567
_cell_length_c 7.567
_cell_angle_alpha 90.00
_cell_angle_beta 90.00
_cell_angle_gamma 90.00
loop_
_atom_site_label
_atom_site_type_symbol
_atom_site_fract_x
_atom_site_fract_y
_atom_site_fract_z
Pm1 Pm 0.000 0.000 0.000
Tm1 Tm 0.000 0.000 0.500
Mg1 Mg 0.250 0.250 0.750
Cd1 Cd 0.250 0.250 0.250
```

Properties
- uncorrected energy (eV/atom) = -3.129
- ΔE to the lowest computed polymorph (meV/atom) = 0.0
- DOS(E_F) (states/eV per cell) = 17.83

***

> Which formula does entry 1 have?

TbPmMgCd

***

> What is the uncorrected energy in the first record?

-3.180 eV/atom

***

> Among the records above, which one has the lowest uncorrected energy?

number 1